P.
Entry from Alexandria: a relaxed structure of Tm2AlOs (PBE-GGA).

a = 3.2801 Å, b = 3.2801 Å, c = 10.4413 Å
α = 80.96°, β = 80.96°, γ = 60.00°
With the nearest neighbours (Å) after each atom.
Positions (direct):
1 Tm 0.0997 0.0997 0.7008  3 Os 2.80, 1 Al 3.07
2 Tm 0.9003 0.9003 0.2992  3 Os 2.80, 1 Al 3.07
3 Al 0.0000 0.0000 0.0000  2 Tm 3.07, 6 Al 3.28
4 Os 0.5000 0.5000 0.5000  6 Tm 2.80

Computed properties:
spin magnetization	0.00	μB/f.u.
space group	R-3m, No. 166
theoretical density	9.63	g/cm3
crystal system	trigonal

---

Q.
Entry from Alexandria: a relaxed structure of Tm2AlOs (PBE-GGA).

a = 4.8710 Å, b = 4.8710 Å, c = 4.8710 Å
α = 60.00°, β = 60.00°, γ = 60.00°
With the nearest neighbours (Å) after each atom.
Positions (direct):
1 Tm 0.2500 0.2500 0.2500  4 Os 2.98, 4 Al 2.98
2 Tm 0.7500 0.7500 0.7500  4 Os 2.98, 4 Al 2.98
3 Al 0.5000 0.5000 0.5000  8 Tm 2.98
4 Os 0.0000 0.0000 0.0000  8 Tm 2.98

Computed properties:
spin magnetization	0.00	μB/f.u.
space group	Fm-3m, No. 225
theoretical density	11.28	g/cm3
crystal system	cubic

---

Least stable structure: P

---

P.
Entry from Alexandria: a relaxed structure of UAlOs2 (PBE-GGA).

a = 2.8652 Å, b = 2.8652 Å, c = 9.1518 Å
α = 80.99°, β = 80.99°, γ = 60.00°
With the nearest neighbours (Å) after each atom.
Positions (direct):
1 U 0.5000 0.5000 0.5000  6 U 2.87, 6 Os 2.96
2 Os 0.7423 0.7423 0.7730  3 Al 2.63, 6 Os 2.87
3 Os 0.2577 0.2577 0.2270  3 Al 2.63, 6 Os 2.87
4 Al 0.0000 0.0000 0.0000  6 Os 2.63, 6 Al 2.87

Computed properties:
spin magnetization	0.00	μB/f.u.
space group	R-3m, No. 166
theoretical density	16.75	g/cm3
crystal system	trigonal

---

Q.
Entry from Alexandria: a relaxed structure of UAlOs2 (PBE-GGA).

a = 3.6188 Å, b = 4.3012 Å, c = 4.3012 Å
α = 90.00°, β = 90.00°, γ = 90.00°
With the nearest neighbours (Å) after each atom.
Positions (direct):
1 Os 0.0000 0.5000 0.0000  4 U 2.81, 4 Al 2.81, 4 Os 3.04
2 Os 0.0000 0.0000 0.5000  4 Al 2.81, 4 U 2.81, 4 Os 3.04
3 U 0.5000 0.5000 0.5000  8 Os 2.81, 4 Al 3.04
4 Al 0.5000 0.0000 0.0000  8 Os 2.81, 4 U 3.04

Computed properties:
spin magnetization	0.53	μB/f.u.
space group	P4/mmm, No. 123
theoretical density	16.01	g/cm3
crystal system	tetragonal

---

Least stable structure: P

---

P.
Entry from Alexandria: a relaxed structure of UAlOs2 (PBE-GGA).

a = 4.5981 Å, b = 4.5981 Å, c = 4.5981 Å
α = 60.00°, β = 60.00°, γ = 60.00°
With the nearest neighbours (Å) after each atom.
Positions (direct):
1 Os 0.2500 0.2500 0.2500  4 U 2.82, 4 Al 2.82
2 Os 0.7500 0.7500 0.7500  4 U 2.82, 4 Al 2.82
3 U 0.5000 0.5000 0.5000  8 Os 2.82
4 Al 0.0000 0.0000 0.0000  8 Os 2.82

Computed properties:
spin magnetization	1.33	μB/f.u.
space group	Fm-3m, No. 225
theoretical density	15.59	g/cm3
crystal system	cubic

---

Q.
Entry from Alexandria: a relaxed structure of UAlOs2 (PBE-GGA).

a = 3.0442 Å, b = 3.0442 Å, c = 6.9735 Å
α = 90.00°, β = 90.00°, γ = 90.00°
With the nearest neighbours (Å) after each atom.
Positions (direct):
1 Al 0.5000 0.5000 0.0000  8 Os 2.64
2 Os 0.0000 0.0000 0.7809  4 Al 2.64, 4 U 2.91
3 Os 0.0000 0.0000 0.2191  4 Al 2.64, 4 U 2.91
4 U 0.5000 0.5000 0.5000  8 Os 2.91, 4 U 3.04

Computed properties:
spin magnetization	0.00	μB/f.u.
space group	P4/mmm, No. 123
theoretical density	16.59	g/cm3
crystal system	tetragonal

---

Least stable structure: P

---

P.
Entry from Alexandria: a relaxed structure of Al2VOs2 (PBE-GGA).

a = 3.0104 Å, b = 2.9113 Å, c = 8.7683 Å
α = 80.44°, β = 90.00°, γ = 90.00°
With the nearest neighbours (Å) after each atom.
Positions (direct):
1 V 0.0000 0.0000 0.0000  8 Os 2.59
2 Al 0.0000 0.1790 0.6419  4 Os 2.61, 4 Al 2.85-2.91
3 Al 0.0000 0.8210 0.3581  4 Os 2.61, 4 Al 2.85-2.91
4 Os 0.5000 0.5886 0.8229  4 V 2.59, 4 Al 2.61
5 Os 0.5000 0.4114 0.1771  4 V 2.59, 4 Al 2.61

Computed properties:
spin magnetization	0.00	μB/f.u.
space group	Cmmm, No. 65
theoretical density	10.64	g/cm3
crystal system	orthorhombic

---

Q.
Entry from Alexandria: a relaxed structure of Al2VOs2 (PBE-GGA).

a = 6.9476 Å, b = 6.9476 Å, c = 3.0696 Å
α = 90.00°, β = 90.00°, γ = 90.00°
With the nearest neighbours (Å) after each atom.
Positions (direct):
1 Os 0.6478 0.1478 0.0000  6 Al 2.51-2.58, 2 V 2.65
2 Os 0.3522 0.8522 0.0000  6 Al 2.51-2.58, 2 V 2.65
3 Os 0.8522 0.6478 0.0000  6 Al 2.51-2.58, 2 V 2.65
4 Os 0.1478 0.3522 0.0000  6 Al 2.51-2.58, 2 V 2.65
5 Al 0.1507 0.6507 0.5000  6 Os 2.51-2.58
6 Al 0.8493 0.3493 0.5000  6 Os 2.51-2.58
7 Al 0.3493 0.1507 0.5000  6 Os 2.51-2.58
8 Al 0.6507 0.8493 0.5000  6 Os 2.51-2.58
9 V 0.5000 0.5000 0.0000  4 Os 2.65
10 V 0.0000 0.0000 0.0000  4 Os 2.65

Computed properties:
spin magnetization	0.00	μB/f.u.
space group	P4/mbm, No. 127
theoretical density	10.88	g/cm3
crystal system	tetragonal

---

Least stable structure: Q

---

P.
Entry from Alexandria: a relaxed structure of AlV2Os2 (PBE-GGA).

a = 7.1963 Å, b = 7.1963 Å, c = 2.8912 Å
α = 90.00°, β = 90.00°, γ = 90.00°
With the nearest neighbours (Å) after each atom.
Positions (direct):
1 V 0.1607 0.6607 0.5000  6 Os 2.51-2.59
2 V 0.3393 0.1607 0.5000  6 Os 2.51-2.59
3 V 0.8393 0.3393 0.5000  6 Os 2.51-2.59
4 V 0.6607 0.8393 0.5000  6 Os 2.51-2.59
5 Os 0.6375 0.1375 0.0000  6 V 2.51-2.59, 2 Al 2.79, 1 Os 2.80
6 Os 0.3625 0.8625 0.0000  6 V 2.51-2.59, 2 Al 2.79, 1 Os 2.80
7 Os 0.1375 0.3625 0.0000  6 V 2.51-2.59, 2 Al 2.79, 1 Os 2.80
8 Os 0.8625 0.6375 0.0000  6 V 2.51-2.59, 2 Al 2.79, 1 Os 2.80
9 Al 0.0000 0.0000 0.0000  4 Os 2.79, 2 Al 2.89, 8 V 3.06
10 Al 0.5000 0.5000 0.0000  4 Os 2.79, 2 Al 2.89, 8 V 3.06

Computed properties:
spin magnetization	0.00	μB/f.u.
space group	P4/mbm, No. 127
theoretical density	11.30	g/cm3
crystal system	tetragonal

---

Q.
Entry from Alexandria: a relaxed structure of AlV2Os2 (PBE-GGA).

a = 3.0246 Å, b = 4.2393 Å, c = 10.8382 Å
α = 90.00°, β = 98.00°, γ = 90.00°
With the nearest neighbours (Å) after each atom.
Positions (direct):
1 V 0.2459 0.7500 0.4912  2 Os 2.57, 4 V 2.61, 2 Al 2.69
2 V 0.7541 0.2500 0.5088  2 Os 2.57, 4 V 2.61, 2 Al 2.69
3 V 0.9490 0.2500 0.8980  8 Os 2.59-2.61
4 V 0.0510 0.7500 0.1020  8 Os 2.59-2.61
5 Os 0.4518 0.7500 0.9045  6 V 2.60-2.61, 2 Al 2.68
6 Os 0.6488 0.7500 0.2980  4 V 2.57-2.59, 4 Al 2.60
7 Os 0.5482 0.2500 0.0955  6 V 2.60-2.61, 2 Al 2.68
8 Os 0.3512 0.2500 0.7020  4 V 2.57-2.59, 4 Al 2.60
9 Al 0.1505 0.2500 0.3011  6 Os 2.60-2.68, 2 V 2.69
10 Al 0.8495 0.7500 0.6989  6 Os 2.60-2.68, 2 V 2.69

Computed properties:
spin magnetization	0.00	μB/f.u.
space group	Cmcm, No. 63
theoretical density	12.29	g/cm3
crystal system	orthorhombic

---

Least stable structure: P

---

P.
Entry from Alexandria: a relaxed structure of Al2OsW2 (PBE-GGA).

a = 6.4698 Å, b = 6.4698 Å, c = 4.1210 Å
α = 90.00°, β = 90.00°, γ = 90.00°
With the nearest neighbours (Å) after each atom.
Positions (direct):
1 Al 0.6638 0.8362 0.5000  6 W 2.74-2.84, 1 Al 3.00
2 Al 0.3362 0.1638 0.5000  6 W 2.74-2.84, 1 Al 3.00
3 Al 0.1638 0.6638 0.5000  6 W 2.74-2.84, 1 Al 3.00
4 Al 0.8362 0.3362 0.5000  6 W 2.74-2.84, 1 Al 3.00
5 Os 0.0000 0.0000 0.0000  4 W 2.51
6 Os 0.5000 0.5000 0.0000  4 W 2.51
7 W 0.1382 0.3618 0.0000  2 Os 2.51, 1 W 2.53, 2 Al 2.74
8 W 0.8618 0.6382 0.0000  2 Os 2.51, 1 W 2.53, 2 Al 2.74
9 W 0.6382 0.1382 0.0000  2 Os 2.51, 1 W 2.53, 2 Al 2.74
10 W 0.3618 0.8618 0.0000  2 Os 2.51, 1 W 2.53, 2 Al 2.74

Computed properties:
spin magnetization	0.00	μB/f.u.
space group	P4/mbm, No. 127
theoretical density	11.78	g/cm3
crystal system	tetragonal

---

Q.
Entry from Alexandria: a relaxed structure of Al2OsW2 (PBE-GGA).

a = 3.3831 Å, b = 3.3831 Å, c = 7.4640 Å
α = 76.90°, β = 76.90°, γ = 90.00°
With the nearest neighbours (Å) after each atom.
Positions (direct):
1 W 0.4006 0.4006 0.1988  4 Al 2.72, 4 Os 2.77, 1 W 2.81
2 W 0.5994 0.5994 0.8012  4 Al 2.72, 4 Os 2.77, 1 W 2.81
3 Al 0.2500 0.7500 0.5000  4 Al 2.39
4 Al 0.7500 0.2500 0.5000  4 Al 2.39
5 Os 0.0000 0.0000 0.0000  8 W 2.77

Computed properties:
spin magnetization	0.02	μB/f.u.
space group	I4/mmm, No. 139
theoretical density	12.56	g/cm3
crystal system	tetragonal

---

Least stable structure: Q

---

P.
Entry from Alexandria: a relaxed structure of AlOsW3 (PBE-GGA).

a = 4.4416 Å, b = 4.4416 Å, c = 4.4416 Å
α = 90.00°, β = 90.00°, γ = 90.00°
With the nearest neighbours (Å) after each atom.
Positions (direct):
1 Os 0.5000 0.5000 0.5000  12 W 3.14
2 W 0.5000 0.0000 0.0000  2 Al 2.22
3 W 0.0000 0.5000 0.0000  2 Al 2.22
4 W 0.0000 0.0000 0.5000  2 Al 2.22
5 Al 0.0000 0.0000 0.0000  6 W 2.22

Computed properties:
spin magnetization	0.00	μB/f.u.
space group	Pm-3m, No. 221
theoretical density	14.57	g/cm3
crystal system	cubic

---

Q.
Entry from Alexandria: a relaxed structure of AlOsW3 (PBE-GGA).

a = 4.7461 Å, b = 4.7461 Å, c = 4.7461 Å
α = 90.00°, β = 90.00°, γ = 90.00°
With the nearest neighbours (Å) after each atom.
Positions (direct):
1 W 0.0000 0.0000 0.5000  2 Os 2.37
2 W 0.0000 0.5000 0.0000  2 Os 2.37
3 W 0.5000 0.0000 0.0000  2 Os 2.37
4 Os 0.0000 0.0000 0.0000  6 W 2.37
5 Al 0.5000 0.5000 0.5000  12 W 3.36

Computed properties:
spin magnetization	0.00	μB/f.u.
space group	Pm-3m, No. 221
theoretical density	11.94	g/cm3
crystal system	cubic

---

Least stable structure: P

---

P.
Entry from Alexandria: a relaxed structure of Y2Al2Os (PBE-GGA).

a = 6.8588 Å, b = 6.8588 Å, c = 4.4674 Å
α = 90.00°, β = 90.00°, γ = 90.00°
With the nearest neighbours (Å) after each atom.
Positions (direct):
1 Al 0.6349 0.1349 0.0000  1 Al 2.62, 2 Os 2.67, 2 Y 2.88
2 Al 0.8651 0.6349 0.0000  1 Al 2.62, 2 Os 2.67, 2 Y 2.88
3 Al 0.3651 0.8651 0.0000  1 Al 2.62, 2 Os 2.67, 2 Y 2.88
4 Al 0.1349 0.3651 0.0000  1 Al 2.62, 2 Os 2.67, 2 Y 2.88
5 Y 0.6784 0.8216 0.5000  6 Al 2.88-3.11
6 Y 0.3216 0.1784 0.5000  6 Al 2.88-3.11
7 Y 0.1784 0.6784 0.5000  6 Al 2.88-3.11
8 Y 0.8216 0.3216 0.5000  6 Al 2.88-3.11
9 Os 0.0000 0.0000 0.0000  4 Al 2.67
10 Os 0.5000 0.5000 0.0000  4 Al 2.67

Computed properties:
spin magnetization	0.00	μB/f.u.
space group	P4/mbm, No. 127
theoretical density	6.67	g/cm3
crystal system	tetragonal

---

Q.
Entry from Alexandria: a relaxed structure of Y2Al2Os (PBE-GGA).

a = 4.3948 Å, b = 5.2725 Å, c = 5.7359 Å
α = 117.36°, β = 112.53°, γ = 90.00°
With the nearest neighbours (Å) after each atom.
Positions (direct):
1 Al 0.5000 0.7535 0.0000  2 Os 2.55, 2 Al 2.60-2.67
2 Al 0.5000 0.2465 0.0000  2 Os 2.55, 2 Al 2.60-2.67
3 Os 0.0000 0.0000 0.0000  4 Al 2.55
4 Y 0.1937 0.6937 0.3873  6 Al 3.10-3.13, 2 Os 3.18
5 Y 0.8063 0.3063 0.6127  6 Al 3.10-3.13, 2 Os 3.18

Computed properties:
spin magnetization	0.00	μB/f.u.
space group	Immm, No. 71
theoretical density	6.58	g/cm3
crystal system	orthorhombic

---

Least stable structure: P